This record from the Alexandria database describes an optimized crystal structure of MgB6. The functional is PBE.

a b c (Å): 4.966 4.966 4.966
angles (deg): 90.00 90.00 90.00
Space group Im-3m (No. 229)
Unique sites:
Mg (0.000, 0.000, 0.000) x2
B (0.000, 0.250, 0.500) x12

- calculated formation energy (eV per atom) = 0.5199
- volume (Å³/atom) = 8.75
- size of the total moment (Bohr magnetons per cell) = 0.0